Entry 1:
## Tl2FeP (PBE)

Data for an optimized crystal structure of Tl2FeP.

Cell: 3.182 3.182 8.483 Å, 90.00 90.00 103.85°
Atoms (fractional coordinates):
Tl  0.000  0.000  0.240
Tl  0.000  0.000  0.760
Fe  0.500  0.500  0.000
P  0.500  0.500  0.500

Summary:
The energy above the most stable polymorph in this dataset comes out at 14.47 kcal/mol of atoms. Its volume is 83.4 Å³/f.u. For the formation energy, the calculation gives 728 meV per atom. The symmetry is Cmmm.

---

Entry 2:
## TlFe2P (PBE)

Data for an optimized crystal structure of TlFe2P.

Cell: 4.350 4.350 3.185 Å, 90.00 90.00 90.00°
Atoms (fractional coordinates):
Tl  0.000  0.000  0.000
Fe  0.000  0.500  0.500
Fe  0.500  0.000  0.500
P  0.500  0.500  0.000

Summary:
Its volume is 60.3 Å³/f.u. For the formation energy, the calculation gives 575 meV per atom. The symmetry is P4/mmm.

---

> Number 2 is which compound?

TlFe2P

---

> Which of these has the lowest volume?

TlFe2P

---

> What is the formula in the second record?

TlFe2P